<1>
! PBE-GGA BiO2F2, optimized geometry; values from VASP
&SYSTEM
  ibrav = 0, nat = 5, ntyp = 3
/
ATOMIC_SPECIES
Bi 208.98 Bi.upf
O 16.00 O.upf
F 19.00 F.upf
CELL_PARAMETERS angstrom
-1.613 1.112 4.028
-2.095 -3.951 0.252
3.403 -1.688 1.828
ATOMIC_POSITIONS crystal
Bi 0.000 0.000 0.000
O 0.500 0.500 0.500
O 0.000 0.000 0.500
F 0.000 0.500 0.000
F 0.500 0.000 0.000
! space-group type = P4/mmm
! DOS(E_F) = 0.2584 states/eV/atom

=====

<2>
! PBE-GGA BiO2F2, optimized geometry; values from VASP
&SYSTEM
  ibrav = 0, nat = 5, ntyp = 3
/
ATOMIC_SPECIES
Bi 208.98 Bi.upf
O 16.00 O.upf
F 19.00 F.upf
CELL_PARAMETERS angstrom
4.015 0.000 0.000
0.000 4.015 0.000
0.000 0.000 3.700
ATOMIC_POSITIONS crystal
Bi 0.500 0.500 0.500
O 0.000 0.000 0.000
O 0.000 0.000 0.500
F 0.000 0.500 0.000
F 0.500 0.000 0.000
! space-group type = P4/mmm
! DOS(E_F) = 0.2989 states/eV/atom

=====

What should be chosen as the least stable of them? Choose <2>.

=====

<1>
! PBE-GGA Bi4O5F2, optimized geometry; values from VASP
&SYSTEM
  ibrav = 0, nat = 44, ntyp = 3
/
ATOMIC_SPECIES
Bi 208.98 Bi.upf
O 16.00 O.upf
F 19.00 F.upf
CELL_PARAMETERS angstrom
-2.165 3.419 -3.814
-10.708 -3.838 2.636
-0.086 9.869 8.895
ATOMIC_POSITIONS crystal
Bi 0.758 0.594 0.952
Bi 0.751 0.273 0.907
Bi 0.232 0.763 0.794
Bi 0.270 0.414 0.757
Bi 0.237 0.095 0.719
Bi 0.710 0.617 0.643
Bi 0.759 0.262 0.612
Bi 0.760 0.927 0.566
Bi 0.260 0.073 0.434
Bi 0.259 0.738 0.388
Bi 0.210 0.383 0.357
Bi 0.737 0.905 0.281
Bi 0.770 0.586 0.243
Bi 0.732 0.237 0.206
Bi 0.251 0.727 0.093
Bi 0.258 0.406 0.048
O 0.128 0.688 0.930
O 0.476 0.418 0.902
O 0.973 0.426 0.913
O 0.559 0.665 0.788
O 0.070 0.626 0.702
O 0.471 0.248 0.734
O 0.983 0.247 0.744
O 0.636 0.444 0.671
O 0.517 0.069 0.592
O 0.024 0.085 0.580
O 0.524 0.915 0.420
O 0.017 0.931 0.408
O 0.136 0.556 0.329
O 0.483 0.753 0.256
O 0.971 0.752 0.266
O 0.570 0.374 0.298
O 0.059 0.335 0.212
O 0.473 0.574 0.087
O 0.976 0.582 0.098
O 0.628 0.312 0.070
F 0.122 0.215 0.969
F 0.901 0.939 0.735
F 0.427 0.822 0.628
F 0.120 0.357 0.572
F 0.620 0.643 0.428
F 0.927 0.178 0.372
F 0.401 0.061 0.265
F 0.622 0.785 0.031
! space-group type = P2_1
! DOS(E_F) = 0.0000 states/eV/atom

=====

<2>
! PBE-GGA Bi4O5F2, optimized geometry; values from VASP
&SYSTEM
  ibrav = 0, nat = 22, ntyp = 3
/
ATOMIC_SPECIES
Bi 208.98 Bi.upf
O 16.00 O.upf
F 19.00 F.upf
CELL_PARAMETERS angstrom
-3.288 -3.996 2.129
0.086 -2.842 -5.199
11.334 -7.323 3.757
ATOMIC_POSITIONS crystal
Bi 0.120 0.771 0.783
Bi 0.717 0.801 0.547
Bi 0.380 0.771 0.283
Bi 0.783 0.801 0.047
Bi 0.217 0.199 0.953
Bi 0.620 0.229 0.717
Bi 0.283 0.199 0.453
Bi 0.880 0.229 0.217
O 0.999 0.917 0.914
O 0.000 0.000 0.500
O 0.818 0.888 0.705
O 0.501 0.917 0.414
O 0.500 0.000 0.000
O 0.682 0.888 0.205
O 0.318 0.112 0.795
O 0.499 0.083 0.586
O 0.182 0.112 0.295
O 0.001 0.083 0.086
F 0.897 0.473 0.850
F 0.397 0.527 0.650
F 0.603 0.473 0.350
F 0.103 0.527 0.150
! space-group type = P2_1/c
! DOS(E_F) = 0.0000 states/eV/atom

=====

<3>
! PBE-GGA Bi4O5F2, optimized geometry; values from VASP
&SYSTEM
  ibrav = 0, nat = 11, ntyp = 3
/
ATOMIC_SPECIES
Bi 208.98 Bi.upf
O 16.00 O.upf
F 19.00 F.upf
CELL_PARAMETERS angstrom
-3.657 -4.340 -4.896
4.502 3.271 -2.071
0.035 -5.808 4.394
ATOMIC_POSITIONS crystal
Bi 0.721 0.317 0.025
Bi 0.279 0.683 0.975
Bi 0.738 0.477 0.582
Bi 0.262 0.523 0.418
O 0.122 0.668 0.733
O 0.878 0.332 0.267
O 0.500 0.000 0.500
O 0.505 0.734 0.753
O 0.495 0.266 0.247
F 0.079 0.878 0.219
F 0.921 0.122 0.781
! space-group type = P-1
! DOS(E_F) = 0.0000 states/eV/atom

=====

<4>
! PBE-GGA Bi4O5F2, optimized geometry; values from VASP
&SYSTEM
  ibrav = 0, nat = 44, ntyp = 3
/
ATOMIC_SPECIES
Bi 208.98 Bi.upf
O 16.00 O.upf
F 19.00 F.upf
CELL_PARAMETERS angstrom
8.514 0.000 0.000
0.000 9.194 0.000
0.000 0.000 9.088
ATOMIC_POSITIONS crystal
Bi 0.250 0.983 0.569
Bi 0.750 0.954 0.003
Bi 0.035 0.760 0.211
Bi 0.465 0.760 0.211
Bi 0.965 0.740 0.711
Bi 0.535 0.740 0.711
Bi 0.250 0.546 0.503
Bi 0.750 0.517 0.069
Bi 0.250 0.483 0.931
Bi 0.750 0.454 0.497
Bi 0.465 0.260 0.289
Bi 0.035 0.260 0.289
Bi 0.965 0.240 0.789
Bi 0.535 0.240 0.789
Bi 0.250 0.046 0.997
Bi 0.750 0.017 0.431
O 0.936 0.975 0.166
O 0.564 0.975 0.166
O 0.438 0.832 0.510
O 0.062 0.832 0.510
O 0.250 0.821 0.076
O 0.750 0.679 0.576
O 0.938 0.668 0.010
O 0.562 0.668 0.010
O 0.436 0.525 0.666
O 0.064 0.525 0.666
O 0.936 0.475 0.334
O 0.564 0.475 0.334
O 0.438 0.332 0.990
O 0.062 0.332 0.990
O 0.250 0.321 0.424
O 0.750 0.179 0.924
O 0.938 0.168 0.490
O 0.562 0.168 0.490
O 0.436 0.025 0.834
O 0.064 0.025 0.834
F 0.750 0.967 0.676
F 0.250 0.780 0.750
F 0.750 0.720 0.250
F 0.250 0.533 0.176
F 0.750 0.467 0.824
F 0.250 0.280 0.750
F 0.750 0.220 0.250
F 0.250 0.033 0.324
! space-group type = Pnma
! DOS(E_F) = 0.0000 states/eV/atom

=====

What should be chosen as the least stable of them? Choose <3>.